Compound: Sr2InWO6
Source: Alexandria
Functional: PBE+U
Structure: optimized geometry

Total moment = 2.00 μB per cell
Energy above the lowest structure with this stoichiometry = 0.000 eV/f.u.

Unit cell a=5.7747 b=5.8509 c=10.0210 alpha=90.00 beta=124.78 gamma=90.00
Last column: nearest neighbours and their distance in Å.
Space group P2_1/c (No. 14)
Asymmetric unit:
Sr 0.2435 0.0350 0.2493 [4 per cell]  6 O 2.50-2.80
In 0.5000 0.0000 0.0000 [2 per cell]  6 O 2.17-2.23
W 0.0000 0.0000 0.5000 [2 per cell]  6 O 1.96-2.05
O 0.1598 0.2203 0.9552 [4 per cell]  1 W 2.05, 1 In 2.17
O 0.2329 0.6988 0.9640 [4 per cell]  1 W 1.96
O 0.3187 0.0259 0.7418 [4 per cell]  1 W 2.05, 1 In 2.17